YTm9Sc2 PBE-GGA optimized geometry; E_form = 0.042 eV/atom; V = 29.2 Å³/atom
1.0
-4.349 -2.238 -0.092
2.209 -4.252 -0.990
1.117 -2.761 14.358
Tm Sc Y
9 2 1
Direct
0.500 0.500 0.336
0.000 0.500 0.828
0.500 0.500 0.664
0.500 0.000 0.172
0.500 0.000 0.828
0.000 0.500 0.172
0.500 0.500 0.000
0.500 0.000 0.500
0.000 0.500 0.500
0.000 0.000 0.335
0.000 0.000 0.665
0.000 0.000 0.000